The following is a DFT calculation (PBE) of Dy8Sb2Ir3 after structural relaxation.

Properties
Electronic total energy (eV per atom): -6.19
Formation energy from raw total energies (kJ/mol of atoms): -65.5
Crystal system: monoclinic

a = 6.8368 Å, b = 7.9947 Å, c = 8.8678 Å
α = 116.79°, β = 104.73°, γ = 90.00°
Element x y z (fractional)
Dy (0.8737, 0.5906, 0.1812)
Dy (0.1263, 0.4094, 0.8188)
Dy (0.9081, 0.0979, 0.1958)
Dy (0.0919, 0.9021, 0.8042)
Dy (0.6031, 0.6556, 0.7886)
Dy (0.6031, 0.1331, 0.7886)
Dy (0.3969, 0.8669, 0.2114)
Dy (0.3969, 0.3444, 0.2114)
Sb (0.3345, 0.2576, 0.5153)
Sb (0.6655, 0.7424, 0.4847)
Ir (0.5000, 0.0000, 0.0000)
Ir (0.0000, 0.2562, 0.0000)
Ir (0.0000, 0.7438, 0.0000)